# Er6BiRu2

An optimized crystal structure of Er6BiRu2 (PBE, the Alexandria database).

a = 8.178 Å, b = 8.178 Å, c = 8.355 Å
α = 105.30°, β = 105.30°, γ = 62.42°
Positions (direct):
Er 0.089 0.165 0.315
Er 0.158 0.552 0.388
Er 0.165 0.089 0.815
Er 0.165 0.546 0.961
Er 0.448 0.842 0.112
Er 0.454 0.835 0.539
Er 0.546 0.165 0.461
Er 0.552 0.158 0.888
Er 0.835 0.454 0.039
Er 0.835 0.911 0.185
Er 0.842 0.448 0.612
Er 0.911 0.835 0.685
Bi 0.425 0.575 0.750
Bi 0.575 0.425 0.250
Ru 0.240 0.290 0.634
Ru 0.290 0.240 0.134
Ru 0.710 0.760 0.866
Ru 0.760 0.710 0.366

Output
formation energy	-0.366	eV per atom

# LiNd2Tm3Se6

An optimized crystal structure of LiNd2Tm3Se6 (PBE, the Alexandria database).

a = 9.188 Å, b = 9.188 Å, c = 8.233 Å
α = 103.54°, β = 103.54°, γ = 25.56°
Positions (direct):
Li 0.000 0.000 0.000
Nd 0.329 0.329 0.658
Nd 0.671 0.671 0.342
Tm 0.000 0.000 0.500
Tm 0.332 0.332 0.169
Tm 0.668 0.668 0.831
Se 0.160 0.160 0.595
Se 0.165 0.165 0.070
Se 0.497 0.497 0.248
Se 0.503 0.503 0.752
Se 0.835 0.835 0.930
Se 0.840 0.840 0.405

Output
raw formation energy	-1.744	eV/atom

| no. | DFT total energy (eV/atom) |
| --- | --- |
| 1 | -5.90 |
| 2 | -5.56 |